Record 1
Material: Ba2SnMoS
Method: DFT, PBE-GGA
State: relaxed

Computed properties:
The calculation puts the density of states at the Fermi level at 2.2 states/eV per cell. As for the total moment: 0.82 μB/atom. The calculated density comes out at 4487 kg/m3.

a b c (Å): 5.969 5.969 5.415
angles (deg): 90.00 90.00 90.00
Sites, in units of the cell vectors:
Ba1 0.000 0.500 0.000
Ba2 0.500 0.000 0.000
Sn1 0.000 0.000 0.500
Mo1 0.500 0.500 0.500
S1 0.000 0.000 0.000

=====

Record 2
Material: BaTcMo2S
Method: DFT, PBE-GGA
State: relaxed

Computed properties:
The calculation puts the density of states at the Fermi level at 5.5 states/eV per cell. As for the total moment: 0.17 μB/atom. The calculated density comes out at 7578 kg/m3.

a b c (Å): 4.665 4.665 4.624
angles (deg): 90.00 90.00 90.00
Sites, in units of the cell vectors:
Ba1 0.000 0.000 0.000
Tc1 0.500 0.500 0.000
Mo1 0.000 0.500 0.500
Mo2 0.500 0.000 0.500
S1 0.500 0.500 0.500

=====

Record 3
Material: Ba2TeMoS
Method: DFT, PBE-GGA
State: relaxed

Computed properties:
The calculation puts the density of states at the Fermi level at 2.9 states/eV per cell. As for the total moment: 0.50 μB/atom. The calculated density comes out at 5046 kg/m3.

a b c (Å): 6.196 6.196 4.546
angles (deg): 90.00 90.00 90.00
Sites, in units of the cell vectors:
Ba1 0.000 0.500 0.000
Ba2 0.500 0.000 0.000
Te1 0.000 0.000 0.500
Mo1 0.500 0.500 0.500
S1 0.500 0.500 0.000

=====

Record 4
Material: Ba2TlMoS
Method: DFT, PBE-GGA
State: relaxed

Computed properties:
The calculation puts the density of states at the Fermi level at 3.9 states/eV per cell. As for the total moment: 0.00 μB/atom. The calculated density comes out at 5785 kg/m3.

a b c (Å): 5.753 5.753 5.265
angles (deg): 90.00 90.00 90.00
Sites, in units of the cell vectors:
Ba1 0.000 0.500 0.000
Ba2 0.500 0.000 0.000
Tl1 0.000 0.000 0.500
Mo1 0.000 0.000 0.000
S1 0.500 0.500 0.500

=====

Record 5
Material: BaMoWS2
Method: DFT, PBE-GGA
State: relaxed

Computed properties:
The calculation puts the density of states at the Fermi level at 2.7 states/eV per cell. As for the total moment: 0.46 μB/atom. The calculated density comes out at 6709 kg/m3.

a b c (Å): 4.946 4.946 4.870
angles (deg): 90.00 90.00 90.00
Sites, in units of the cell vectors:
Ba1 0.000 0.000 0.000
Mo1 0.500 0.500 0.500
W1 0.500 0.500 0.000
S1 0.000 0.500 0.500
S2 0.500 0.000 0.500

=====

Record 6
Material: BaSb2Mo
Method: DFT, PBE-GGA
State: relaxed

Computed properties:
The calculation puts the density of states at the Fermi level at 2.7 states/eV per cell. As for the total moment: 0.55 μB/atom. The energy relative to the lowest polymorph listed for this composition is 18 meV per atom. The calculated density comes out at 6476 kg/m3.

a b c (Å): 7.766 7.766 7.766
angles (deg): 32.79 32.79 32.79
Sites, in units of the cell vectors:
Ba1 0.000 0.000 0.000
Sb1 0.226 0.226 0.226
Sb2 0.774 0.774 0.774
Mo1 0.500 0.500 0.500

=====

Record 7
Material: BaSbMo2
Method: DFT, PBE-GGA
State: relaxed

Computed properties:
The calculation puts the density of states at the Fermi level at 3.2 states/eV per cell. As for the total moment: 0.00 μB/atom. The calculated density comes out at 7222 kg/m3.

a b c (Å): 3.416 4.071 7.533
angles (deg): 90.00 98.13 90.00
Sites, in units of the cell vectors:
Ba1 0.000 0.000 0.000
Sb1 0.405 0.500 0.689
Mo1 0.323 0.000 0.434
Mo2 0.805 0.500 0.392

=====

Record 8
Material: BaSbMo
Method: DFT, PBE-GGA
State: relaxed

Computed properties:
The calculation puts the density of states at the Fermi level at 1.4 states/eV per cell. As for the total moment: 1.60 μB/atom. The energy relative to the lowest polymorph listed for this composition is 382 meV per atom. The calculated density comes out at 5751 kg/m3.

a b c (Å): 5.253 5.253 5.253
angles (deg): 60.00 60.00 60.00
Sites, in units of the cell vectors:
Ba1 0.000 0.000 0.000
Sb1 0.500 0.500 0.500
Mo1 0.750 0.750 0.750

=====

Uncorrected formation energy across the listed records, respectively: 0.20; 0.74; -0.64; 0.25; 0.23; -0.17; 0.33; 0.58 eV/atom.